[1]
{"formula": "CuAg3", "functional": "SCAN", "state": "single point on PBEsol structure", "spacegroup": "R-3m (166)", "formation_energy_mev_per_atom": 139, "magnetic_moment_mub_per_fu": 0.0, "cell": [[4.4287, 2.5569, 0.9134], [-4.4287, 2.5569, 0.9134], [0.0000, -5.1138, 0.9134]], "species": ["Cu", "Ag", "Ag", "Ag"], "fractional_positions": [[0.0000, 0.0000, 0.0000], [0.0000, 0.5000, 0.5000], [0.5000, 0.0000, 0.5000], [0.5000, 0.5000, 0.0000]]}

***

[2]
{"formula": "Cs2LiCl3", "functional": "SCAN", "state": "single point on PBEsol structure", "e_form_raw_ev_per_atom": -2.138, "spacegroup": "Cmcm (63)", "magnetic_moment_mub_per_fu": 0.0, "cell": [[2.0907, -11.4816, 0.0000], [2.0907, 11.4816, 0.0000], [0.0000, 0.0000, 7.5825]], "species": ["Cs", "Cs", "Cs", "Cs", "Li", "Li", "Cl", "Cl", "Cl", "Cl", "Cl", "Cl"], "fractional_positions": [[0.0045, 0.9955, 0.7500], [0.1777, 0.8223, 0.2500], [0.8223, 0.1777, 0.7500], [0.9955, 0.0045, 0.2500], [0.3509, 0.6491, 0.2500], [0.6491, 0.3509, 0.7500], [0.2026, 0.7974, 0.7500], [0.4119, 0.5881, 0.5020], [0.4119, 0.5881, 0.9980], [0.5881, 0.4119, 0.0020], [0.5881, 0.4119, 0.4980], [0.7974, 0.2026, 0.2500]]}

***

[3]
{"formula": "Ta2SnRuI", "functional": "SCAN", "state": "single point on PBEsol structure", "e_form_raw_ev_per_atom": 1.879, "spacegroup": "P4/mmm (123)", "magnetic_moment_mub_per_fu": 0.0, "cell": [[4.9712, 0.0000, 0.0000], [0.0000, 4.9712, 0.0000], [0.0000, 0.0000, 4.6856]], "species": ["Ta", "Ta", "Sn", "Ru", "I"], "fractional_positions": [[0.0000, 0.5000, 0.0000], [0.5000, 0.0000, 0.0000], [0.0000, 0.0000, 0.5000], [0.5000, 0.5000, 0.5000], [0.5000, 0.5000, 0.0000]]}

***

[4]
{"formula": "Rb3FeS3", "functional": "SCAN", "state": "single point on PBEsol structure", "e_form_raw_ev_per_atom": -1.123, "spacegroup": "P2_1/c (14)", "magnetic_moment_mub_per_fu": 4.0, "cell": [[7.9024, 0.0000, 0.0000], [0.0000, 12.8506, 0.0000], [-6.3449, 0.0000, 8.0729]], "species": ["Rb", "Rb", "Rb", "Rb", "Rb", "Rb", "Rb", "Rb", "Rb", "Rb", "Rb", "Rb", "Fe", "Fe", "Fe", "Fe", "S", "S", "S", "S", "S", "S", "S", "S", "S", "S", "S", "S"], "fractional_positions": [[0.1093, 0.1400, 0.4790], [0.1093, 0.3600, 0.9790], [0.1434, 0.0663, 0.8916], [0.1434, 0.4337, 0.3916], [0.3745, 0.6971, 0.5877], [0.3745, 0.8029, 0.0877], [0.6255, 0.1971, 0.9123], [0.6255, 0.3029, 0.4123], [0.8566, 0.5663, 0.6084], [0.8566, 0.9337, 0.1084], [0.8907, 0.6400, 0.0210], [0.8907, 0.8600, 0.5210], [0.4402, 0.0509, 0.3545], [0.4402, 0.4491, 0.8545], [0.5598, 0.5509, 0.1455], [0.5598, 0.9491, 0.6455], [0.1560, 0.1554, 0.1961], [0.1560, 0.3446, 0.6961], [0.3664, 0.6107, 0.8850], [0.3664, 0.8893, 0.3850], [0.3805, 0.5435, 0.2459], [0.3805, 0.9565, 0.7459], [0.6195, 0.0435, 0.2541], [0.6195, 0.4565, 0.7541], [0.6336, 0.1107, 0.6150], [0.6336, 0.3893, 0.1150], [0.8440, 0.6554, 0.3039], [0.8440, 0.8446, 0.8039]]}

***

[5]
{"formula": "CsK2Ti", "functional": "SCAN", "state": "single point on PBEsol structure", "spacegroup": "Fm-3m (225)", "formation_energy_mev_per_atom": 809, "magnetic_moment_mub_per_fu": 3.2, "cell": [[0.0000, 4.6891, 4.6891], [4.6891, 0.0000, 4.6891], [4.6891, 4.6891, 0.0000]], "species": ["Cs", "K", "K", "Ti"], "fractional_positions": [[0.0000, 0.0000, 0.0000], [0.2500, 0.2500, 0.2500], [0.7500, 0.7500, 0.7500], [0.5000, 0.5000, 0.5000]]}

***

[6]
{"formula": "U3Ni3Sn2Sb2", "functional": "SCAN", "state": "single point on PBEsol structure", "e_form_raw_ev_per_atom": -0.250, "spacegroup": "I2_13 (199)", "magnetic_moment_mub_per_fu": 4.0, "cell": [[-4.6072, 4.6072, 4.6072], [4.6072, -4.6072, 4.6072], [4.6072, 4.6072, -4.6072]], "species": ["U", "U", "U", "U", "U", "U", "Ni", "Ni", "Ni", "Ni", "Ni", "Ni", "Sn", "Sn", "Sn", "Sn", "Sb", "Sb", "Sb", "Sb"], "fractional_positions": [[0.1252, 0.8752, 0.2500], [0.2500, 0.1252, 0.8752], [0.3748, 0.6248, 0.7500], [0.6248, 0.7500, 0.3748], [0.7500, 0.3748, 0.6248], [0.8752, 0.2500, 0.1252], [0.1240, 0.7500, 0.8740], [0.2500, 0.6260, 0.3760], [0.3760, 0.2500, 0.6260], [0.6260, 0.3760, 0.2500], [0.7500, 0.8740, 0.1240], [0.8740, 0.1240, 0.7500], [0.0000, 0.1701, 0.5000], [0.1701, 0.5000, 0.0000], [0.3299, 0.3299, 0.3299], [0.5000, 0.0000, 0.1701], [0.0000, 0.6669, 0.5000], [0.5000, 0.0000, 0.6669], [0.6669, 0.5000, 0.0000], [0.8331, 0.8331, 0.8331]]}

***

[7]
{"formula": "RbTaRePd2", "functional": "SCAN", "state": "single point on PBEsol structure", "spacegroup": "P4/mmm (123)", "formation_energy_mev_per_atom": 2326, "magnetic_moment_mub_per_fu": 3.0, "cell": [[4.8027, 0.0000, 0.0000], [0.0000, 4.8027, 0.0000], [0.0000, 0.0000, 5.3772]], "species": ["Rb", "Ta", "Re", "Pd", "Pd"], "fractional_positions": [[0.0000, 0.0000, 0.0000], [0.0000, 0.0000, 0.5000], [0.5000, 0.5000, 0.0000], [0.0000, 0.5000, 0.5000], [0.5000, 0.0000, 0.5000]]}

***

[8]
{"formula": "Sr2CuHg", "functional": "SCAN", "state": "single point on PBEsol structure", "e_above_lowest_polymorph_mev_per_atom": 0, "spacegroup": "Amm2 (38)", "formation_energy_mev_per_atom": -347, "magnetic_moment_mub_per_fu": 0.0, "cell": [[4.6108, 0.0000, 0.0000], [0.0000, 2.2225, 5.8107], [0.0000, -2.2225, 5.8107]], "species": ["Sr", "Sr", "Cu", "Hg"], "fractional_positions": [[0.0000, 0.0000, 0.0000], [0.5000, 0.2846, 0.2846], [0.0000, 0.7044, 0.7044], [0.5000, 0.5786, 0.5786]]}

***

[9]
{"formula": "LiCu2Pt", "functional": "SCAN", "state": "single point on PBEsol structure", "e_above_lowest_polymorph_mev_per_atom": 36, "spacegroup": "Cm (8)", "formation_energy_mev_per_atom": -266, "magnetic_moment_mub_per_fu": 0.0, "cell": [[4.3015, -1.3663, 0.0000], [4.3015, 1.3663, 0.0000], [-1.0042, 0.0000, 4.2503]], "species": ["Li", "Cu", "Cu", "Pt"], "fractional_positions": [[0.0000, 0.0000, 0.0000], [0.4937, 0.4937, 0.4943], [0.7536, 0.7536, 0.2550], [0.2438, 0.2438, 0.7492]]}

***

[10]
{"formula": "KCu2BiS3", "functional": "SCAN", "state": "single point on PBEsol structure", "e_form_raw_ev_per_atom": -0.543, "spacegroup": "P-1 (2)", "magnetic_moment_mub_per_fu": 0.0, "cell": [[6.3803, 0.0000, 0.0000], [0.1767, 9.1210, 0.0000], [0.1369, 0.0340, 10.3613]], "species": ["K", "K", "K", "K", "Cu", "Cu", "Cu", "Cu", "Cu", "Cu", "Cu", "Cu", "Bi", "Bi", "Bi", "Bi", "S", "S", "S", "S", "S", "S", "S", "S", "S", "S", "S", "S"], "fractional_positions": [[0.1955, 0.0765, 0.3644], [0.2999, 0.9332, 0.8735], [0.7001, 0.0668, 0.1265], [0.8045, 0.9235, 0.6356], [0.0041, 0.6311, 0.8272], [0.0845, 0.6634, 0.4568], [0.4174, 0.3374, 0.9674], [0.4800, 0.2225, 0.6317], [0.5200, 0.7775, 0.3683], [0.5826, 0.6626, 0.0326], [0.9155, 0.3366, 0.5432], [0.9959, 0.3689, 0.1728], [0.0294, 0.6808, 0.1454], [0.4649, 0.5368, 0.6529], [0.5351, 0.4632, 0.3471], [0.9706, 0.3192, 0.8546], [0.1255, 0.4330, 0.3635], [0.1363, 0.1837, 0.6563], [0.1612, 0.1962, 0.0570], [0.3345, 0.5709, 0.8894], [0.3429, 0.7902, 0.5558], [0.3872, 0.8107, 0.1714], [0.6128, 0.1893, 0.8286], [0.6571, 0.2098, 0.4442], [0.6655, 0.4291, 0.1106], [0.8388, 0.8038, 0.9430], [0.8637, 0.8163, 0.3437], [0.8745, 0.5670, 0.6365]]}